Record 1
Compound: TaP2H
Source: the Alexandria database
Functional: PBE
Structure: relaxed

a = 5.0012 Å, b = 5.0012 Å, c = 5.0012 Å
α = 110.31°, β = 110.31°, γ = 107.81°
Last column: nearest neighbours and their distance in Å.
Sites, in units of the cell vectors:
Ta  0.0000  0.0000  0.0000  8 P 2.56-2.77
Ta  0.7500  0.2500  0.5000  8 P 2.56-2.77
P  0.2231  0.6250  0.0981  2 H 1.83
P  0.3750  0.4731  0.5981  2 H 1.83
P  0.5269  0.1250  0.9019  2 H 1.83
P  0.8750  0.7769  0.4019  2 H 1.83
H  0.2500  0.7500  0.5000  4 P 1.83
H  0.5000  0.5000  0.0000  4 P 1.83

Properties
Magnetization ... 0.0 μB/f.u.
E_tot ... -6.39 eV/atom

=====

Record 2
Compound: Ta2PH
Source: the Alexandria database
Functional: PBE
Structure: relaxed

a = 5.1277 Å, b = 5.1277 Å, c = 5.1277 Å
α = 108.90°, β = 108.90°, γ = 110.62°
Last column: nearest neighbours and their distance in Å.
Sites, in units of the cell vectors:
Ta  0.0517  0.6250  0.9267  2 H 1.97
Ta  0.3750  0.3017  0.4267  2 H 1.97
Ta  0.6983  0.1250  0.0733  2 H 1.97
Ta  0.8750  0.9483  0.5733  2 H 1.97
P  0.2500  0.7500  0.5000  4 Ta 2.54
P  0.5000  0.5000  0.0000  4 Ta 2.54
H  0.0000  0.0000  0.0000  4 Ta 1.97
H  0.7500  0.2500  0.5000  4 Ta 1.97

Properties
Magnetization ... 0.0 μB/f.u.
E_tot ... -8.39 eV/atom

=====

Record 3
Compound: Ta2PH
Source: the Alexandria database
Functional: PBE
Structure: relaxed

a = 3.4048 Å, b = 3.3165 Å, c = 4.8995 Å
α = 90.00°, β = 110.32°, γ = 90.00°
Last column: nearest neighbours and their distance in Å.
Sites, in units of the cell vectors:
Ta  0.0000  0.0000  0.0000  1 H 1.91
Ta  0.3041  0.5000  0.5995  2 H 1.98
P  0.5995  0.5000  0.1947  7 Ta 2.52-2.73, 2 H 2.59
H  0.6251  0.0000  0.6064  3 Ta 1.91-1.98

Properties
Magnetization ... 0.0 μB/f.u.
E_tot ... -8.65 eV/atom